4
Lattice="-3.4422 -0.1819 -2.4226 3.7871 -0.8174 -1.6559 0.1945 -7.0219 3.9135" Properties=species:S:1:pos:R:3 comment="PBE PmPrSiBr, relaxed" dos_at_fermi_per_ev_cell=2.6 space_group="R3m (160)" e_form_raw_ev_per_atom=-1.04 pbc="T T T"
Br -1.8139 -3.0522 -1.5489
Si 1.2071 -6.5910 1.7505
Pr 3.2485 -1.3218 -1.5446
Pm -1.0319 -4.8674 1.1390

10
Lattice="3.8108 0.0000 0.0000 0.0000 3.8108 0.0000 -1.9054 -1.9054 8.5419" Properties=species:S:1:pos:R:3 comment="PBE CePa2O7, relaxed" relative_energy_ev_per_fu=1.44 dos_at_fermi_per_ev_cell=0.8 space_group="I4/mmm (139)" e_form_raw_ev_per_atom=-3.41 pbc="T T T"
Pa 0.0000 0.0000 5.7379
O 0.0000 1.9054 1.6991
O 0.0000 1.9054 6.8428
Ce 0.0000 0.0000 0.0000
O 0.0000 1.9054 4.2709
Pa 1.9054 1.9054 2.8040
O 1.9054 0.0000 1.6991
O 1.9054 0.0000 4.2709
O 1.9054 1.9054 0.0000
O 1.9054 0.0000 6.8428

8
Lattice="3.3704 0.0239 -0.7723 -1.1735 10.3486 -4.8914 0.3293 -2.4116 8.3531" Properties=species:S:1:pos:R:3 comment="PBE Pm3Tm4Sc, relaxed" relative_energy_ev_per_fu=0.89 formation_energy_ev_per_atom=0.1362 dos_at_fermi_per_ev_cell=12.0 space_group="P-1 (2)" pbc="T T T"
Tm 1.2342 8.6023 -2.6291
Pm 1.8282 6.6249 0.0351
Pm 0.6980 1.3360 2.6544
Tm 1.2920 -0.6415 5.3186
Tm 0.6834 4.7006 2.7957
Pm -0.5867 5.1743 -2.4457
Tm 1.8428 3.2603 -0.1062
Sc 1.6852 0.0120 -0.3861

5
Lattice="-2.2122 -1.5192 5.1459 5.3333 -1.2312 1.9293 0.5867 5.4643 1.8654" Properties=species:S:1:pos:R:3 comment="PBE K3GaC, relaxed" relative_energy_ev_per_fu=0.00 formation_energy_ev_per_atom=0.9973 dos_at_fermi_per_ev_cell=4.2 space_group="Pm-3m (221)" pbc="T T T"
K 0.2933 2.7321 0.9327
Ga 1.8538 1.3569 4.4703
C 0.0000 0.0000 0.0000
K 2.6666 -0.6156 0.9647
K -1.1061 -0.7596 2.5729

5
Lattice="-4.8054 -0.5298 -0.6665 0.7112 -4.5981 -1.4725 -0.4681 -1.5470 4.6048" Properties=species:S:1:pos:R:3 comment="PBE LaTa3Ti, relaxed" relative_energy_ev_per_fu=0.00 formation_energy_ev_per_atom=1.0577 dos_at_fermi_per_ev_cell=9.8 space_group="Pm-3m (221)" pbc="T T T"
Ta -0.2341 -0.7735 2.3024
Ta 0.3556 -2.2991 -0.7362
Ta -2.4027 -0.2649 -0.3333
Ti 0.0000 0.0000 0.0000
La -2.2812 -3.3375 1.2329

5
Lattice="5.2551 0.0000 0.0000 0.0000 4.6741 0.0000 0.0000 0.0000 5.2551" Properties=species:S:1:pos:R:3 comment="PBE Cd2SbRhSe, relaxed" dos_at_fermi_per_ev_cell=5.8 space_group="P4/mmm (123)" e_form_raw_ev_per_atom=0.44 pbc="T T T"
Cd 2.6275 0.0000 0.0000
Rh 0.0000 2.3371 0.0000
Se 0.0000 0.0000 0.0000
Cd 0.0000 0.0000 2.6275
Sb 2.6275 2.3371 2.6275

11
Lattice="5.9036 -0.9430 2.1967 -0.9693 7.6092 2.9510 4.0958 6.0221 13.2695" Properties=species:S:1:pos:R:3 comment="PBE La6Sm2Y3, relaxed" formation_energy_ev_per_atom=0.0215 dos_at_fermi_per_ev_cell=18.6 space_group="P-1 (2)" pbc="T T T"
Y 5.1087 4.7812 9.9948
La 2.6677 4.6498 7.2326
Y 0.0000 0.0000 0.0000
La 2.9066 9.1413 11.7469
La 6.3623 8.0384 11.1846
Y 3.9214 7.9070 8.4224
Sm 5.3349 9.2688 14.4743
La 7.5606 4.9342 12.7349
La 1.4695 7.7540 5.6823
Sm 3.6951 3.4194 3.9429
La 6.1234 3.5469 6.6703

11
Lattice="4.7139 0.0000 0.0000 0.0000 7.0780 0.5003 -2.3569 -2.3563 9.0815" Properties=species:S:1:pos:R:3 comment="PBE Pm8Si2Ru, relaxed" dos_at_fermi_per_ev_cell=10.8 space_group="C2/m (12)" e_form_raw_ev_per_atom=-0.29 pbc="T T T"
Pm 2.3569 -0.6935 2.7769
Pm 0.0000 5.4454 0.6808
Pm 2.3569 -0.7238 8.9011
Pm 0.0000 1.6793 7.5784
Pm 2.3569 3.0423 2.0035
Pm 2.3569 3.3683 5.4791
Pm 0.0000 1.3534 4.1028
Si 0.0000 4.4483 3.6736
Si 2.3569 0.2733 5.9083
Pm 0.0000 5.4152 6.8049
Ru 2.3569 0.0000 0.0000

Number 1: volume 118 Å³ per cell. Number 2: volume 124 Å³ per cell. Number 3: volume 252 Å³ per cell. Number 4: volume 195 Å³ per cell. Number 5: volume 116 Å³ per cell. Number 6: volume 129 Å³ per cell. Number 7: volume 386 Å³ per cell. Number 8: volume 309 Å³ per cell.